Entry 1:
# TcAsIr2Ru | Alexandria | PBE | optimized geometry
# * ΔH_f (0 K): 38.6 kcal/mol of atoms
# * Fermi-level density of states: 5.209 states/eV per cell
data_TcAsIr2Ru
_space_group_name_H-M_alt 'P 4/m m m'
_space_group_IT_number 123
_space_group_name_Hall '-P 4 2'
_cell_length_a 4.714
_cell_length_b 4.714
_cell_length_c 4.596
_cell_angle_alpha 90.00
_cell_angle_beta 90.00
_cell_angle_gamma 90.00
loop_
_atom_site_label
_atom_site_fract_x
_atom_site_fract_y
_atom_site_fract_z
Tc1 0.000 0.000 0.000
As1 0.500 0.500 0.500
Ir1 0.000 0.500 0.000
Ru1 0.000 0.000 0.500


Entry 2:
# Th2As3Ir4Ru | Alexandria | PBE | optimized geometry
# * ΔH_f (0 K): -14.3 kcal/mol of atoms
# * Fermi-level density of states: 7.772 states/eV per cell
data_Th2As3Ir4Ru
_space_group_name_H-M_alt 'P -4 m 2'
_space_group_IT_number 115
_space_group_name_Hall 'P -4 -2'
_cell_length_a 4.203
_cell_length_b 4.203
_cell_length_c 10.553
_cell_angle_alpha 90.00
_cell_angle_beta 90.00
_cell_angle_gamma 90.00
loop_
_atom_site_label
_atom_site_fract_x
_atom_site_fract_y
_atom_site_fract_z
Th1 0.000 0.500 0.245
As1 0.000 0.500 0.864
As2 0.500 0.500 0.500
Ir1 0.000 0.000 0.000
Ir2 0.000 0.500 0.635
Ir3 0.500 0.500 0.000
Ru1 0.000 0.000 0.500


Entry 3:
# Th2As4IrRu3 | Alexandria | PBE | optimized geometry
# * ΔH_f (0 K): -17.4 kcal/mol of atoms
# * Fermi-level density of states: 5.199 states/eV per cell
data_Th2As4IrRu3
_space_group_name_H-M_alt 'P -4 m 2'
_space_group_IT_number 115
_space_group_name_Hall 'P -4 -2'
_cell_length_a 4.303
_cell_length_b 4.303
_cell_length_c 9.926
_cell_angle_alpha 90.00
_cell_angle_beta 90.00
_cell_angle_gamma 90.00
loop_
_atom_site_label
_atom_site_fract_x
_atom_site_fract_y
_atom_site_fract_z
Th1 0.000 0.500 0.247
As1 0.000 0.000 0.000
As2 0.000 0.500 0.637
As3 0.500 0.500 0.000
Ir1 0.000 0.000 0.500
Ru1 0.000 0.500 0.880
Ru2 0.500 0.500 0.500


Entry 4:
# YAsIrRu2 | Alexandria | PBE | optimized geometry
# * ΔH_f (0 K): 19.4 kcal/mol of atoms
# * Fermi-level density of states: 6.644 states/eV per cell
data_YAsIrRu2
_space_group_name_H-M_alt 'P 4/m m m'
_space_group_IT_number 123
_space_group_name_Hall '-P 4 2'
_cell_length_a 4.677
_cell_length_b 4.677
_cell_length_c 5.335
_cell_angle_alpha 90.00
_cell_angle_beta 90.00
_cell_angle_gamma 90.00
loop_
_atom_site_label
_atom_site_fract_x
_atom_site_fract_y
_atom_site_fract_z
Y1 0.000 0.000 0.000
As1 0.500 0.500 0.000
Ir1 0.000 0.000 0.500
Ru1 0.000 0.500 0.500


Magnetic moment for every record listed, in sequence, given in μB/cell: 0.00, 0.00, 0.00, 0.48.